A plane-wave DFT calculation with PBE was carried out for crystalline LaMgZrS2 at its relaxed geometry.

Computed properties:
uncorrected formation energy = 0.393 eV per atom
SG = No. 123

a = 5.4239 Å, b = 5.4239 Å, c = 5.6021 Å
α = 90.00°, β = 90.00°, γ = 90.00°
Fractional coordinates of all 5 atoms:
La1 0.0000 0.0000 0.0000
Mg1 0.5000 0.5000 0.5000
Zr1 0.0000 0.0000 0.5000
S1 0.0000 0.5000 0.0000
S2 0.5000 0.0000 0.0000

A plane-wave DFT calculation with PBE was carried out for crystalline TbCe2Th3Se6 at its relaxed geometry.

Computed properties:
uncorrected formation energy = -1.674 eV per atom
SG = No. 12

a = 7.1888 Å, b = 7.1888 Å, c = 7.3227 Å
α = 99.41°, β = 99.41°, γ = 119.95°
Fractional coordinates of all 12 atoms:
Tb1 0.0000 0.0000 0.0000
Ce1 0.3337 0.6663 0.0000
Ce2 0.6663 0.3337 0.0000
Th1 0.1689 0.8311 0.5000
Th2 0.5000 0.5000 0.5000
Th3 0.8311 0.1689 0.5000
Se1 0.0804 0.4083 0.2418
Se2 0.2459 0.2459 0.7547
Se3 0.4083 0.0804 0.2418
Se4 0.5917 0.9196 0.7582
Se5 0.7541 0.7541 0.2453
Se6 0.9196 0.5917 0.7582

A plane-wave DFT calculation with PBE was carried out for crystalline RbYAlS4 at its relaxed geometry.

Computed properties:
uncorrected formation energy = -1.383 eV per atom
SG = No. 11

a = 6.8925 Å, b = 5.6908 Å, c = 9.5381 Å
α = 90.00°, β = 105.62°, γ = 90.00°
Fractional coordinates of all 14 atoms:
Rb1 0.2405 0.2500 0.4581
Rb2 0.7595 0.7500 0.5419
Y1 0.2463 0.2500 0.9414
Y2 0.7537 0.7500 0.0586
Al1 0.2464 0.7500 0.1674
Al2 0.7536 0.2500 0.8326
S1 0.0525 0.7500 0.3158
S2 0.0811 0.7500 0.9317
S3 0.4957 0.5143 0.8000
S4 0.4957 0.9857 0.8000
S5 0.5043 0.0143 0.2000
S6 0.5043 0.4857 0.2000
S7 0.9189 0.2500 0.0683
S8 0.9475 0.2500 0.6842

A plane-wave DFT calculation with PBE was carried out for crystalline KPIr2 at its relaxed geometry.

Computed properties:
ΔH_f (0 K) = 818 meV per atom
SG = No. 12

a = 5.8450 Å, b = 5.8450 Å, c = 2.6244 Å
α = 102.37°, β = 102.37°, γ = 121.49°
Fractional coordinates of all 4 atoms:
K1 0.0000 0.0000 0.0000
P1 0.5000 0.5000 0.0000
Ir1 0.0000 0.5000 0.0000
Ir2 0.5000 0.0000 0.0000

A plane-wave DFT calculation with PBE was carried out for crystalline TbMnAlS4 at its relaxed geometry.

Computed properties:
uncorrected formation energy = -1.213 eV per atom
SG = No. 74

a = 7.5290 Å, b = 7.5290 Å, c = 7.5290 Å
α = 120.06°, β = 119.44°, γ = 90.44°
Fractional coordinates of all 14 atoms:
Tb1 0.0000 0.0000 0.0000
Tb2 0.5000 0.0000 0.5000
Mn1 0.5000 0.0000 0.0000
Mn2 0.5000 0.5000 0.5000
Al1 0.1201 0.3701 0.7500
Al2 0.8799 0.6299 0.2500
S1 0.2524 0.7428 0.5096
S2 0.2536 0.2618 0.5081
S3 0.2536 0.7455 0.9919
S4 0.2668 0.2572 0.0096
S5 0.7332 0.7428 0.9904
S6 0.7464 0.2545 0.0081
S7 0.7464 0.7382 0.4919
S8 0.7476 0.2572 0.4904

A plane-wave DFT calculation with PBE was carried out for crystalline TaCd2Sb at its relaxed geometry.

Computed properties:
uncorrected formation energy = 0.363 eV per atom
SG = No. 166

a = 10.0438 Å, b = 10.0438 Å, c = 10.0438 Å
α = 18.44°, β = 18.44°, γ = 18.44°
Fractional coordinates of all 4 atoms:
Ta1 0.0000 0.0000 0.0000
Cd1 0.2536 0.2536 0.2536
Cd2 0.7464 0.7464 0.7464
Sb1 0.5000 0.5000 0.5000

Number 1: V 32.96 Å³ per atom, DOS(E_F) 1.119 states/eV/atom. Number 2: V 25.83 Å³ per atom, DOS(E_F) 1.304 states/eV/atom. Number 3: V 25.74 Å³ per atom, DOS(E_F) 0.234 states/eV/atom. Number 4: V 17.18 Å³ per atom, DOS(E_F) 1.212 states/eV/atom. Number 5: V 21.64 Å³ per atom, DOS(E_F) 0.116 states/eV/atom. Number 6: V 22.14 Å³ per atom, DOS(E_F) 0.572 states/eV/atom.